No. 1
A plane-wave DFT calculation with PBE was carried out for crystalline Rb6OsCl12 at its relaxed geometry.

POSCAR file:
```
Rb6OsCl12
1.0
-8.586 1.890 -2.990
-3.642 -7.675 3.749
-2.446 4.280 7.869
Rb Os Cl
6 1 12
direct
0.999 0.242 0.524 Rb
0.758 0.476 0.001 Rb
0.476 0.001 0.758 Rb
0.001 0.758 0.476 Rb
0.242 0.524 0.999 Rb
0.524 0.999 0.242 Rb
0.000 0.000 0.000 Os
0.258 0.990 0.494 Cl
0.990 0.494 0.258 Cl
0.494 0.258 0.990 Cl
0.742 0.010 0.506 Cl
0.010 0.506 0.742 Cl
0.506 0.742 0.010 Cl
0.094 0.853 0.821 Cl
0.179 0.906 0.147 Cl
0.147 0.179 0.906 Cl
0.906 0.147 0.179 Cl
0.821 0.094 0.853 Cl
0.853 0.821 0.094 Cl
```

Properties
Calculated density   2.35 g cm⁻³
Raw formation energy   -1.3020 eV per atom
Final energy   -3.365 eV/atom
Magnetization   1.67 μB per formula unit

No. 2
A plane-wave DFT calculation with PBE was carried out for crystalline RbOs2Cl at its relaxed geometry.

POSCAR file:
```
RbOs2Cl
1.0
-2.309 3.008 -3.235
2.119 -2.448 -3.790
-6.363 -4.783 -3.745
Os Rb Cl
4 2 2
direct
0.355 0.125 0.250 Os
0.395 0.625 0.250 Os
0.375 0.645 0.750 Os
0.875 0.605 0.750 Os
0.000 0.000 0.000 Rb
0.750 0.250 0.500 Rb
0.500 0.500 0.000 Cl
0.250 0.750 0.500 Cl
```

Properties
Calculated density   8.32 g cm⁻³
Raw formation energy   1.2975 eV per atom
E above lowest polymorph   0.000 eV per atom
Final energy   -5.021 eV/atom
Magnetization   0.00 μB per formula unit

No. 3
A plane-wave DFT calculation with PBE was carried out for crystalline RbOs2Cl at its relaxed geometry.

POSCAR file:
```
RbOs2Cl
1.0
-0.378 -4.905 0.053
-4.043 -2.137 1.815
-3.158 -2.257 -3.023
Os Rb Cl
2 1 1
direct
0.250 0.250 0.250 Os
0.750 0.750 0.750 Os
0.500 0.500 0.500 Rb
0.000 0.000 0.000 Cl
```

Properties
Calculated density   9.89 g cm⁻³
Raw formation energy   2.7110 eV per atom
E above lowest polymorph   1.413 eV per atom
Final energy   -3.607 eV/atom
Magnetization   4.76 μB per formula unit

No. 4
A plane-wave DFT calculation with PBE was carried out for crystalline RbOsCl3 at its relaxed geometry.

POSCAR file:
```
RbOsCl3
1.0
4.959 0.000 0.000
0.000 4.959 0.000
0.000 0.000 4.959
Os Rb Cl
1 1 3
direct
0.000 0.000 0.000 Os
0.500 0.500 0.500 Rb
0.000 0.500 0.000 Cl
0.000 0.000 0.500 Cl
0.500 0.000 0.000 Cl
```

Properties
Calculated density   5.20 g cm⁻³
Raw formation energy   -0.4839 eV per atom
Final energy   -4.031 eV/atom
Magnetization   1.57 μB per formula unit

No. 5
A plane-wave DFT calculation with PBE was carried out for crystalline RbOs2Cl11 at its relaxed geometry.

POSCAR file:
```
RbOs2Cl11
1.0
9.524 0.000 4.964
4.592 9.371 2.808
0.434 -0.519 10.786
Rb Os Cl
2 4 22
direct
0.750 0.634 0.866 Rb
0.250 0.134 0.366 Rb
0.679 0.570 0.430 Os
0.281 0.450 0.550 Os
0.821 0.070 0.930 Os
0.219 0.950 0.050 Os
0.554 0.573 0.674 Cl
0.313 0.425 0.327 Cl
0.065 0.673 0.575 Cl
0.946 0.826 0.927 Cl
0.801 0.326 0.427 Cl
0.187 0.173 0.075 Cl
0.435 0.925 0.827 Cl
0.699 0.073 0.174 Cl
0.447 0.575 0.425 Cl
0.053 0.075 0.925 Cl
0.889 0.579 0.421 Cl
0.110 0.346 0.654 Cl
0.611 0.079 0.921 Cl
0.390 0.846 0.154 Cl
0.540 0.817 0.432 Cl
0.500 0.234 0.520 Cl
0.254 0.480 0.766 Cl
0.960 0.068 0.683 Cl
0.790 0.568 0.183 Cl
0.000 0.980 0.266 Cl
0.246 0.734 0.020 Cl
0.710 0.317 0.932 Cl
```

Properties
Calculated density   3.01 g cm⁻³
Raw formation energy   -0.6304 eV per atom
Final energy   -3.755 eV/atom
Magnetization   6.00 μB per formula unit

No. 6
A plane-wave DFT calculation with PBE was carried out for crystalline Rb3OsCl7 at its relaxed geometry.

POSCAR file:
```
Rb3OsCl7
1.0
-1.803 -1.082 -6.656
7.155 -6.913 -0.814
-6.465 -7.032 2.895
Rb Os Cl
6 2 14
direct
0.500 0.177 0.677 Rb
0.500 0.677 0.823 Rb
0.500 0.323 0.177 Rb
0.500 0.823 0.323 Rb
0.000 0.500 0.500 Rb
0.000 0.000 0.000 Rb
0.000 0.000 0.500 Os
0.000 0.500 0.000 Os
0.760 0.384 0.884 Cl
0.760 0.616 0.116 Cl
0.760 0.116 0.384 Cl
0.760 0.884 0.616 Cl
0.240 0.384 0.884 Cl
0.240 0.884 0.616 Cl
0.240 0.116 0.384 Cl
0.240 0.616 0.116 Cl
0.500 0.000 0.000 Cl
0.500 0.500 0.500 Cl
0.000 0.833 0.333 Cl
0.000 0.333 0.167 Cl
0.000 0.667 0.833 Cl
0.000 0.167 0.667 Cl
```

Properties
Calculated density   3.32 g cm⁻³
Raw formation energy   -1.2740 eV per atom
Final energy   -3.734 eV/atom
Magnetization   2.00 μB per formula unit

No. 7
A plane-wave DFT calculation with PBE was carried out for crystalline Rb2OsCl2 at its relaxed geometry.

POSCAR file:
```
Rb2OsCl2
1.0
6.327 0.000 0.000
0.000 6.327 0.000
3.164 3.164 6.714
Os Rb Cl
1 2 2
direct
0.000 0.000 0.000 Os
0.294 0.294 0.413 Rb
0.706 0.706 0.587 Rb
0.750 0.250 0.500 Cl
0.250 0.750 0.500 Cl
```

Properties
Calculated density   2.67 g cm⁻³
Raw formation energy   0.2231 eV per atom
E above lowest polymorph   0.122 eV per atom
Final energy   -3.149 eV/atom
Magnetization   4.00 μB per formula unit

No. 8
A plane-wave DFT calculation with PBE was carried out for crystalline Rb2OsCl2 at its relaxed geometry.

POSCAR file:
```
Rb2OsCl2
1.0
9.605 0.000 0.000
0.000 9.605 0.000
0.000 0.000 3.385
Os Rb Cl
2 4 4
direct
0.000 0.000 0.000 Os
0.500 0.500 0.000 Os
0.355 0.855 0.000 Rb
0.855 0.645 0.000 Rb
0.645 0.145 0.000 Rb
0.145 0.355 0.000 Rb
0.151 0.651 0.500 Cl
0.651 0.849 0.500 Cl
0.849 0.349 0.500 Cl
0.349 0.151 0.500 Cl
```

Properties
Calculated density   4.59 g cm⁻³
Raw formation energy   0.1011 eV per atom
E above lowest polymorph   0.000 eV per atom
Final energy   -3.271 eV/atom
Magnetization   3.58 μB per formula unit

No. 9
A plane-wave DFT calculation with PBE was carried out for crystalline Rb2OsCl7 at its relaxed geometry.

POSCAR file:
```
Rb2OsCl7
1.0
6.740 0.000 3.287
3.041 9.746 2.319
-0.311 -1.137 9.192
Rb Os Cl
4 2 14
direct
0.600 0.955 0.715 Rb
0.730 0.455 0.215 Rb
0.270 0.545 0.785 Rb
0.400 0.045 0.285 Rb
0.975 0.250 0.750 Os
0.025 0.750 0.250 Os
0.815 0.486 0.828 Cl
0.872 0.986 0.328 Cl
0.218 0.814 0.991 Cl
0.321 0.258 0.581 Cl
0.654 0.250 0.750 Cl
0.976 0.314 0.491 Cl
0.160 0.242 0.919 Cl
0.840 0.758 0.081 Cl
0.024 0.686 0.509 Cl
0.346 0.750 0.250 Cl
0.679 0.742 0.419 Cl
0.782 0.186 0.009 Cl
0.128 0.014 0.672 Cl
0.185 0.514 0.172 Cl
```

Properties
Calculated density   3.26 g cm⁻³
Raw formation energy   -0.9034 eV per atom
Final energy   -3.513 eV/atom
Magnetization   1.04 μB per formula unit

No. 10
A plane-wave DFT calculation with PBE was carried out for crystalline RbOsSCl2 at its relaxed geometry.

POSCAR file:
```
RbOsSCl2
1.0
5.953 0.000 0.000
0.000 5.953 0.000
0.000 0.000 5.974
S Os Rb Cl
1 1 1 2
direct
0.000 0.000 0.500 S
0.500 0.500 0.500 Os
0.000 0.000 0.000 Rb
0.000 0.500 0.000 Cl
0.500 0.000 0.000 Cl
```

Properties
Calculated density   2.97 g cm⁻³
Raw formation energy   1.4655 eV per atom
E above lowest polymorph   1.972 eV per atom
Final energy   -2.538 eV/atom
Magnetization   7.05 μB per formula unit

No. 11
A plane-wave DFT calculation with PBE was carried out for crystalline Rb2OsSCl6 at its relaxed geometry.

POSCAR file:
```
Rb2OsSCl6
1.0
8.039 0.000 0.000
0.000 8.039 0.000
4.020 4.020 4.547
S Os Rb Cl
1 1 2 6
direct
0.500 0.500 0.000 S
0.000 0.000 0.000 Os
0.750 0.250 0.500 Rb
0.250 0.750 0.500 Rb
0.254 0.254 0.492 Cl
0.746 0.746 0.508 Cl
0.209 0.209 0.000 Cl
0.791 0.791 0.000 Cl
0.791 0.209 0.000 Cl
0.209 0.791 0.000 Cl
```

Properties
Calculated density   3.42 g cm⁻³
Raw formation energy   -0.7400 eV per atom
Final energy   -3.577 eV/atom
Magnetization   2.10 μB per formula unit

No. 12
A plane-wave DFT calculation with PBE was carried out for crystalline RbOsSCl2 at its relaxed geometry.

POSCAR file:
```
RbOsSCl2
1.0
-1.793 4.828 -0.855
-3.032 -0.377 4.233
3.258 1.649 2.481
S Os Rb Cl
1 1 1 2
direct
0.000 0.000 0.500 S
0.000 0.000 0.000 Os
0.500 0.500 0.500 Rb
0.000 0.500 0.000 Cl
0.500 0.000 0.000 Cl
```

Properties
Calculated density   5.23 g cm⁻³
Raw formation energy   -0.5062 eV per atom
E above lowest polymorph   0.000 eV per atom
Final energy   -4.510 eV/atom
Magnetization   0.00 μB per formula unit

> What is the magnetization in the fourth record?

1.57 μB per formula unit